CrCuIr2 | PBE | relaxed

Calculated values
- Formation energy from the elements: 0.1994 eV/atom
- Crystal system: monoclinic
- Density of states at the Fermi level: 6.4 states/eV/cell

abc: 2.694 4.346 4.766
angles: 90.00 92.89 90.00
Positions (direct):
Cr 0.000 0.000 0.000
Cu 0.500 0.000 0.500
Ir 0.257 0.500 0.745
Ir 0.743 0.500 0.255

LiCrCuIr | PBE | relaxed

Calculated values
- Formation energy from the elements: 0.0180 eV/atom
- Crystal system: cubic
- Density of states at the Fermi level: 2.7 states/eV/cell

abc: 4.139 4.139 4.139
angles: 60.00 60.00 60.00
Positions (direct):
Li 0.000 0.000 0.000
Cr 0.500 0.500 0.500
Cu 0.750 0.750 0.750
Ir 0.250 0.250 0.250

Mg2CrCuIr | PBE | relaxed

Calculated values
- Formation energy from the elements: 0.5990 eV/atom
- Crystal system: tetragonal
- Density of states at the Fermi level: 3.4 states/eV/cell

abc: 4.955 4.955 4.597
angles: 90.00 90.00 90.00
Positions (direct):
Mg 0.000 0.500 0.000
Mg 0.500 0.000 0.000
Cr 0.000 0.000 0.500
Cu 0.500 0.500 0.500
Ir 0.000 0.000 0.000

NbCrCuIr | PBE | relaxed

Calculated values
- Formation energy from the elements: -0.1023 eV/atom
- Crystal system: cubic
- Density of states at the Fermi level: 0.8 states/eV/cell

abc: 4.358 4.358 4.358
angles: 60.00 60.00 60.00
Positions (direct):
Nb 0.000 0.000 0.000
Cr 0.750 0.750 0.750
Cu 0.500 0.500 0.500
Ir 0.250 0.250 0.250